(1)
Here is an optimized crystal structure of RbCd2In2 from Alexandria. Energies are from PBE.

Values from the calculation:
Its density of states at the Fermi level is 4.23 states/eV per cell. Its crystal system is triclinic. The calculation puts the density at 5.2 g/cm³. The value obtained for the spin magnetization is 0.00 μB/f.u. For the uncorrected energy, the calculation gives -1.689 eV/atom.

CIF file:
```
data_RbCd2In2
_symmetry_space_group_name_H-M 'P -1'
_symmetry_Int_Tables_number 2
_symmetry_space_group_name_Hall '-P 1'
_cell_length_a 7.275
_cell_length_b 7.523
_cell_length_c 8.017
_cell_angle_alpha 62.63
_cell_angle_beta 79.59
_cell_angle_gamma 61.72
loop_
_atom_site_label
_atom_site_type_symbol
_atom_site_fract_x
_atom_site_fract_y
_atom_site_fract_z
Rb1 Rb 0.241 0.387 0.213
Cd1 Cd 0.169 0.980 0.695
Cd2 Cd 0.377 0.228 0.735
In1 In 0.203 0.978 0.061
In2 In 0.267 0.706 0.501
```

---

(2)
Here is an optimized crystal structure of Rb4Cd2In3 from Alexandria. Energies are from PBE.

Values from the calculation:
Its density of states at the Fermi level is 10.73 states/eV per cell. Its crystal system is monoclinic. The calculation puts the density at 3.8 g/cm³. The value obtained for the spin magnetization is 0.00 μB/f.u. For the uncorrected energy, the calculation gives -1.604 eV/atom.

CIF file:
```
data_Rb4Cd2In3
_symmetry_space_group_name_H-M 'C 1 2/m 1'
_symmetry_Int_Tables_number 12
_symmetry_space_group_name_Hall '-C 2y'
_cell_length_a 19.247
_cell_length_b 4.988
_cell_length_c 8.551
_cell_angle_alpha 90.00
_cell_angle_beta 105.07
_cell_angle_gamma 90.00
loop_
_atom_site_label
_atom_site_type_symbol
_atom_site_fract_x
_atom_site_fract_y
_atom_site_fract_z
Rb1 Rb 0.080 0.000 0.395
Rb2 Rb 0.235 0.500 0.194
Cd1 Cd 0.085 0.000 0.944
In1 In 0.000 0.500 0.000
In2 In 0.094 0.500 0.760
```

---

(3)
Here is an optimized crystal structure of RbCd3In from Alexandria. Energies are from PBE.

Values from the calculation:
Its density of states at the Fermi level is 10.16 states/eV per cell. Its crystal system is orthorhombic. The calculation puts the density at 5.2 g/cm³. The value obtained for the spin magnetization is 0.00 μB/f.u. For the uncorrected energy, the calculation gives -1.310 eV/atom.

CIF file:
```
data_RbCd3In
_symmetry_space_group_name_H-M 'I m m a'
_symmetry_Int_Tables_number 74
_symmetry_space_group_name_Hall '-I 2b 2'
_cell_length_a 6.043
_cell_length_b 11.140
_cell_length_c 10.167
_cell_angle_alpha 90.00
_cell_angle_beta 90.00
_cell_angle_gamma 90.00
loop_
_atom_site_label
_atom_site_type_symbol
_atom_site_fract_x
_atom_site_fract_y
_atom_site_fract_z
Rb1 Rb 0.000 0.250 0.061
Cd1 Cd 0.000 0.250 0.662
Cd2 Cd 0.250 0.023 0.750
In1 In 0.000 0.000 0.500
```

---

(4)
Here is an optimized crystal structure of RbCdIn5 from Alexandria. Energies are from PBE.

Values from the calculation:
Its density of states at the Fermi level is 2.47 states/eV per cell. Its crystal system is tetragonal. The calculation puts the density at 5.5 g/cm³. The value obtained for the spin magnetization is 0.00 μB/f.u. For the uncorrected energy, the calculation gives -2.263 eV/atom.

CIF file:
```
data_RbCdIn5
_symmetry_space_group_name_H-M 'P 4/m m m'
_symmetry_Int_Tables_number 123
_symmetry_space_group_name_Hall '-P 4 2'
_cell_length_a 4.604
_cell_length_b 4.604
_cell_length_c 10.914
_cell_angle_alpha 90.00
_cell_angle_beta 90.00
_cell_angle_gamma 90.00
loop_
_atom_site_label
_atom_site_type_symbol
_atom_site_fract_x
_atom_site_fract_y
_atom_site_fract_z
Rb1 Rb 0.000 0.000 0.000
Cd1 Cd 0.000 0.000 0.500
In1 In 0.000 0.500 0.288
In2 In 0.500 0.500 0.500
```

---

(5)
Here is an optimized crystal structure of Rb3Cd3In2 from Alexandria. Energies are from PBE.

Values from the calculation:
Its density of states at the Fermi level is 12.62 states/eV per cell. Its crystal system is orthorhombic. The calculation puts the density at 4.2 g/cm³. The value obtained for the spin magnetization is 0.00 μB/f.u. For the uncorrected energy, the calculation gives -1.453 eV/atom.

CIF file:
```
data_Rb3Cd3In2
_symmetry_space_group_name_H-M 'C m c m'
_symmetry_Int_Tables_number 63
_symmetry_space_group_name_Hall '-C 2c 2'
_cell_length_a 5.263
_cell_length_b 13.522
_cell_length_c 18.331
_cell_angle_alpha 90.00
_cell_angle_beta 90.00
_cell_angle_gamma 90.00
loop_
_atom_site_label
_atom_site_type_symbol
_atom_site_fract_x
_atom_site_fract_y
_atom_site_fract_z
Rb1 Rb 0.000 0.067 0.103
Rb2 Rb 0.000 0.385 0.250
Cd1 Cd 0.000 0.314 0.750
Cd2 Cd 0.000 0.335 0.039
In1 In 0.000 0.222 0.603
```

---

(6)
Here is an optimized crystal structure of RbCdInRe2 from Alexandria. Energies are from PBE.

Values from the calculation:
Its density of states at the Fermi level is 6.49 states/eV per cell. Its crystal system is tetragonal. The calculation puts the density at 7.4 g/cm³. The value obtained for the spin magnetization is 5.85 μB/f.u. For the uncorrected energy, the calculation gives -3.828 eV/atom.

CIF file:
```
data_RbCdInRe2
_symmetry_space_group_name_H-M 'P 4/m m m'
_symmetry_Int_Tables_number 123
_symmetry_space_group_name_Hall '-P 4 2'
_cell_length_a 5.257
_cell_length_b 5.257
_cell_length_c 5.559
_cell_angle_alpha 90.00
_cell_angle_beta 90.00
_cell_angle_gamma 90.00
loop_
_atom_site_label
_atom_site_type_symbol
_atom_site_fract_x
_atom_site_fract_y
_atom_site_fract_z
Rb1 Rb 0.000 0.000 0.000
Cd1 Cd 0.500 0.500 0.000
In1 In 0.500 0.500 0.500
Re1 Re 0.000 0.500 0.500
```